# 1
4
Lattice="2.5879 0.0000 0.0000 0.0000 2.5879 0.0000 0.0000 0.0000 6.8475" Properties=species:S:1:pos:R:3 comment="FeCo2Re, single point on PBEsol structure, DFT meta-GGA SCAN" energy_ev_per_atom=-30.834 volume_a3_per_atom=11.46 spacegroup="P4mm (99)" formation_energy_mev_per_atom=125 dos_at_fermi_per_ev_cell=4.66 pbc="T T T"
Fe 0.0000 0.0000 0.0000
Co 0.0000 0.0000 3.6426
Co 1.2939 1.2939 5.2470
Re 1.2939 1.2939 1.8514

=====

# 2
8
Lattice="3.9654 0.0000 0.0000 0.0000 2.6010 0.0000 0.0000 0.0000 9.4989" Properties=species:S:1:pos:R:3 comment="FeCoRe2, single point on PBEsol structure, DFT meta-GGA SCAN" energy_ev_per_atom=-44.263 volume_a3_per_atom=12.25 spacegroup="Amm2 (38)" formation_energy_mev_per_atom=144 dos_at_fermi_per_ev_cell=5.72 pbc="T T T"
Fe 0.0000 0.0000 0.0000
Fe 0.0000 1.3005 4.7494
Co 1.9827 0.0000 8.2512
Co 1.9827 1.3005 3.5018
Re 0.0000 0.0000 2.5526
Re 0.0000 1.3005 7.3021
Re 1.9827 0.0000 5.7033
Re 1.9827 1.3005 0.9539

=====

# 3
12
Lattice="2.5952 0.0000 0.0000 -1.2976 2.2475 0.0000 0.0000 0.0000 24.3145" Properties=species:S:1:pos:R:3 comment="Fe2CoRe, single point on PBEsol structure, DFT meta-GGA SCAN" energy_ev_per_atom=-31.019 volume_a3_per_atom=11.82 spacegroup="R3m (160)" formation_energy_mev_per_atom=146 dos_at_fermi_per_ev_cell=9.73 pbc="T T T"
Fe 0.0000 0.0000 0.0000
Fe 0.0000 0.0000 6.1429
Fe 0.0000 1.4983 16.2097
Fe 0.0000 1.4983 22.3525
Fe 1.2976 0.7492 8.1048
Fe 1.2976 0.7492 14.2477
Co 0.0000 0.0000 12.3272
Co 0.0000 1.4983 4.2224
Co 1.2976 0.7492 20.4320
Re 0.0000 0.0000 18.2865
Re 0.0000 1.4983 10.1817
Re 1.2976 0.7492 2.0769

=====

# 4
8
Lattice="3.5541 0.0000 0.0000 0.0000 3.5541 0.0000 0.0000 0.0000 7.0829" Properties=species:S:1:pos:R:3 comment="FeCo2Re, single point on PBEsol structure, DFT meta-GGA SCAN" energy_ev_per_atom=-30.842 volume_a3_per_atom=11.18 spacegroup="I4/mmm (139)" formation_energy_mev_per_atom=117 dos_at_fermi_per_ev_cell=5.12 pbc="T T T"
Fe 0.0000 0.0000 0.0000
Fe 1.7771 1.7771 3.5414
Co 0.0000 1.7771 1.7707
Co 0.0000 1.7771 5.3122
Co 1.7771 0.0000 1.7707
Co 1.7771 0.0000 5.3122
Re 0.0000 0.0000 3.5414
Re 1.7771 1.7771 0.0000

=====

# 5
16
Lattice="5.7590 0.0000 0.0000 0.0000 5.7590 0.0000 0.0000 0.0000 5.7590" Properties=species:S:1:pos:R:3 comment="Fe2CoRh, single point on PBEsol structure, DFT meta-GGA SCAN" energy_ev_per_atom=-21.967 volume_a3_per_atom=11.94 spacegroup="F-43m (216)" formation_energy_mev_per_atom=-133 dos_at_fermi_per_ev_cell=9.48 pbc="T T T"
Fe 0.0000 0.0000 0.0000
Fe 0.0000 2.8795 2.8795
Fe 1.4398 1.4398 1.4398
Fe 1.4398 4.3193 4.3193
Fe 2.8795 0.0000 2.8795
Fe 2.8795 2.8795 0.0000
Fe 4.3193 1.4398 4.3193
Fe 4.3193 4.3193 1.4398
Co 0.0000 0.0000 2.8795
Co 0.0000 2.8795 0.0000
Co 2.8795 0.0000 0.0000
Co 2.8795 2.8795 2.8795
Rh 1.4398 1.4398 4.3193
Rh 1.4398 4.3193 1.4398
Rh 4.3193 1.4398 1.4398
Rh 4.3193 4.3193 4.3193

=====

# 6
4
Lattice="3.5734 0.0000 0.0000 0.0000 3.5734 0.0000 0.0000 0.0000 3.5765" Properties=species:S:1:pos:R:3 comment="FeCo2Rh, single point on PBEsol structure, DFT meta-GGA SCAN" energy_ev_per_atom=-21.681 volume_a3_per_atom=11.42 spacegroup="P4/mmm (123)" formation_energy_mev_per_atom=-54 dos_at_fermi_per_ev_cell=2.48 pbc="T T T"
Fe 0.0000 0.0000 0.0000
Co 0.0000 1.7867 1.7883
Co 1.7867 0.0000 1.7883
Rh 1.7867 1.7867 0.0000

=====

# 7
4
Lattice="2.5675 0.0000 0.0000 0.0000 3.4756 0.0000 0.0000 0.0000 5.1173" Properties=species:S:1:pos:R:3 comment="FeCo2Rh, single point on PBEsol structure, DFT meta-GGA SCAN" energy_ev_per_atom=-21.646 volume_a3_per_atom=11.42 spacegroup="Pmm2 (25)" formation_energy_mev_per_atom=-19 dos_at_fermi_per_ev_cell=2.86 pbc="T T T"
Fe 0.0000 0.0000 0.0000
Co 0.0000 0.0000 2.7218
Co 1.2838 1.7378 3.8722
Rh 1.2838 1.7378 1.3504

=====

# 8
8
Lattice="2.7810 0.0000 0.0000 0.0000 4.2036 0.0000 0.0000 0.0000 8.1212" Properties=species:S:1:pos:R:3 comment="Fe2CoRh, single point on PBEsol structure, DFT meta-GGA SCAN" energy_ev_per_atom=-21.844 volume_a3_per_atom=11.87 spacegroup="Cmm2 (35)" formation_energy_mev_per_atom=-10 dos_at_fermi_per_ev_cell=6.92 pbc="T T T"
Fe 0.0000 0.0000 0.0000
Fe 0.0000 2.1018 1.9669
Fe 1.3905 0.0000 1.9669
Fe 1.3905 2.1018 0.0000
Co 0.0000 0.0000 3.8772
Co 1.3905 2.1018 3.8772
Rh 0.0000 2.1018 6.0166
Rh 1.3905 0.0000 6.0166

=====

Q: Which formula does entry 6 have?
A: FeCo2Rh

=====

Q: Number 1 is which compound?
A: FeCo2Re